# WCl

A relaxed structure of WCl (GGA-PBE, Alexandria).

Values from the calculation:
energy above the lowest structure with this stoichiometry = 911 meV/atom

Cell lengths 7.147, 7.147, 4.119 Å; angles 90.00, 90.00, 156.35 degrees
Element x y z (fractional)
W (0.789, 0.211, 0.750)
Cl (0.616, 0.384, 0.750)
Cl (0.384, 0.616, 0.250)
W (0.211, 0.789, 0.250)

***

# Zr8Co2N3

A relaxed structure of Zr8Co2N3 (GGA-PBE, Alexandria).

Values from the calculation:
energy = -9.007 eV/atom

Cell lengths 5.886, 6.579, 6.961 Å; angles 118.20, 105.67, 90.00 degrees
Element x y z (fractional)
Zr (0.401, 0.353, 0.222)
Co (0.686, 0.740, 0.481)
Zr (0.098, 0.892, 0.784)
Zr (0.401, 0.869, 0.222)
Co (0.314, 0.260, 0.519)
Zr (0.941, 0.610, 0.220)
N (0.000, 0.238, 0.000)
Zr (0.599, 0.647, 0.778)
Zr (0.059, 0.390, 0.780)
N (0.500, 0.000, 0.000)
Zr (0.599, 0.131, 0.778)
Zr (0.902, 0.108, 0.216)
N (0.000, 0.762, 0.000)

***

# DyThOs2

A relaxed structure of DyThOs2 (GGA-PBE, Alexandria).

Values from the calculation:
ΔH_f (0 K) = -0.6 eV per formula unit
energy above the lowest structure with this stoichiometry = 0 meV/atom

Cell lengths 3.499, 4.930, 4.930 Å; angles 90.00, 90.00, 90.00 degrees
Element x y z (fractional)
Dy (0.500, 0.500, 0.500)
Os (0.000, 0.000, 0.500)
Th (0.500, 0.000, 0.000)
Os (0.000, 0.500, 0.000)

***

# Be2SbW

A relaxed structure of Be2SbW (GGA-PBE, Alexandria).

Values from the calculation:
energy = -5.696 eV/atom

Cell lengths 3.366, 3.366, 5.108 Å; angles 90.00, 90.00, 90.00 degrees
Element x y z (fractional)
W (0.500, 0.500, 0.770)
Be (0.000, 0.000, 0.005)
Be (0.500, 0.500, 0.232)
Sb (0.000, 0.000, 0.493)

***

# Pa2Te3H4

A relaxed structure of Pa2Te3H4 (GGA-PBE, Alexandria).

Values from the calculation:
energy = -5.228 eV/atom

Cell lengths 3.847, 5.323, 8.967 Å; angles 61.95, 77.61, 68.81 degrees
Element x y z (fractional)
Pa (0.689, 0.412, 0.211)
H (0.885, 0.535, 0.695)
H (0.733, 0.606, 0.927)
Pa (0.311, 0.588, 0.789)
Te (0.379, 0.863, 0.379)
H (0.115, 0.465, 0.305)
Te (0.000, 0.000, 0.000)
Te (0.621, 0.137, 0.621)
H (0.267, 0.394, 0.073)

***

# ThSc4Zn5

A relaxed structure of ThSc4Zn5 (GGA-PBE, Alexandria).

Values from the calculation:
ΔH_f (0 K) = -3.3 eV per formula unit

Cell lengths 3.365, 3.365, 17.566 Å; angles 90.00, 90.00, 90.00 degrees
Element x y z (fractional)
Sc (0.000, 0.000, 0.595)
Sc (0.000, 0.000, 0.405)
Sc (0.000, 0.000, 0.215)
Zn (0.500, 0.500, 0.310)
Zn (0.500, 0.500, 0.877)
Zn (0.500, 0.500, 0.500)
Zn (0.500, 0.500, 0.690)
Sc (0.000, 0.000, 0.785)
Zn (0.500, 0.500, 0.123)
Th (0.000, 0.000, 0.000)

***

# Sm2PuSc

A relaxed structure of Sm2PuSc (GGA-PBE, Alexandria).

Values from the calculation:
ΔH_f (0 K) = 0.6 eV per formula unit
energy above the lowest structure with this stoichiometry = 20 meV/atom

Cell lengths 3.496, 3.496, 11.449 Å; angles 81.22, 81.22, 60.00 degrees
Element x y z (fractional)
Sc (0.500, 0.500, 0.500)
Sm (0.085, 0.085, 0.744)
Sm (0.248, 0.248, 0.257)
Pu (0.667, 0.667, 0.000)

***

# Na2Cd5Pt4

A relaxed structure of Na2Cd5Pt4 (GGA-PBE, Alexandria).

Values from the calculation:
ΔH_f (0 K) = -1.3 eV per formula unit

Cell lengths 6.087, 7.473, 7.972 Å; angles 58.87, 67.56, 65.97 degrees
Element x y z (fractional)
Na (0.236, 0.895, 0.633)
Cd (0.637, 0.318, 0.899)
Pt (0.781, 0.675, 0.762)
Cd (0.854, 0.682, 0.101)
Cd (0.000, 0.500, 0.500)
Na (0.764, 0.105, 0.367)
Pt (0.418, 0.977, 0.187)
Cd (0.363, 0.682, 0.101)
Pt (0.219, 0.325, 0.238)
Cd (0.146, 0.318, 0.899)
Pt (0.582, 0.023, 0.813)

***

# PuCdInPd

A relaxed structure of PuCdInPd (GGA-PBE, Alexandria).

Values from the calculation:
ΔH_f (0 K) = -0.9 eV per formula unit
energy above the lowest structure with this stoichiometry = 5 meV/atom

Cell lengths 5.006, 5.006, 5.006 Å; angles 60.00, 60.00, 60.00 degrees
Element x y z (fractional)
In (0.000, 0.000, 0.000)
Pu (0.500, 0.500, 0.500)
Pd (0.750, 0.750, 0.750)
Cd (0.250, 0.250, 0.250)

***

# Tm8MgHg2

A relaxed structure of Tm8MgHg2 (GGA-PBE, Alexandria).

Values from the calculation:
ΔH_f (0 K) = -0.5 eV per formula unit

Cell lengths 5.413, 8.445, 8.445 Å; angles 117.58, 100.85, 100.85 degrees
Element x y z (fractional)
Hg (0.000, 0.695, 0.305)
Tm (0.500, 0.223, 0.777)
Tm (0.893, 0.906, 0.673)
Hg (0.000, 0.305, 0.695)
Tm (0.107, 0.094, 0.327)
Tm (0.697, 0.397, 0.397)
Mg (0.500, 0.000, 0.000)
Tm (0.893, 0.673, 0.906)
Tm (0.107, 0.327, 0.094)
Tm (0.303, 0.603, 0.603)
Tm (0.500, 0.777, 0.223)

***

# SrCdF3

A relaxed structure of SrCdF3 (GGA-PBE, Alexandria).

Values from the calculation:
energy above the lowest structure with this stoichiometry = 203 meV/atom

Cell lengths 4.584, 4.584, 4.584 Å; angles 90.00, 90.00, 90.00 degrees
Element x y z (fractional)
F (0.500, 0.000, 0.000)
F (0.000, 0.500, 0.000)
Sr (0.500, 0.500, 0.500)
Cd (0.000, 0.000, 0.000)
F (0.000, 0.000, 0.500)

***

# SrHgC

A relaxed structure of SrHgC (GGA-PBE, Alexandria).

Values from the calculation:
ΔH_f (0 K) = -0.4 eV per formula unit

Cell lengths 4.096, 10.362, 4.492 Å; angles 81.31, 62.96, 66.70 degrees
Element x y z (fractional)
C (0.575, 0.842, 0.452)
Sr (0.792, 0.046, 0.607)
C (0.640, 0.911, 0.184)
Hg (0.997, 0.457, 0.376)
Sr (0.423, 0.705, 0.028)
Hg (0.860, 0.288, 0.988)

***

# Sr2PtWCl

A relaxed structure of Sr2PtWCl (GGA-PBE, Alexandria).

Values from the calculation:
energy = -4.898 eV/atom

Cell lengths 6.025, 4.851, 6.025 Å; angles 90.00, 90.00, 90.00 degrees
Element x y z (fractional)
Pt (0.000, 0.000, 0.000)
Cl (0.500, 0.500, 0.500)
Sr (0.000, 0.000, 0.500)
W (0.000, 0.500, 0.000)
Sr (0.500, 0.000, 0.000)

***

# RbSi2AgRh

A relaxed structure of RbSi2AgRh (GGA-PBE, Alexandria).

Values from the calculation:
energy = -2.144 eV/atom

Cell lengths 5.492, 4.866, 5.492 Å; angles 90.00, 90.00, 90.00 degrees
Element x y z (fractional)
Ag (0.500, 0.500, 0.500)
Si (0.000, 0.000, 0.500)
Rb (0.000, 0.000, 0.000)
Rh (0.000, 0.500, 0.000)
Si (0.500, 0.000, 0.000)

***

# CaMgS2

A relaxed structure of CaMgS2 (GGA-PBE, Alexandria).

Values from the calculation:
energy = -4.589 eV/atom

Cell lengths 3.808, 3.808, 7.044 Å; angles 74.32, 74.32, 60.00 degrees
Element x y z (fractional)
Ca (0.668, 0.668, 0.997)
S (0.087, 0.087, 0.738)
Mg (0.498, 0.498, 0.505)
S (0.247, 0.247, 0.260)

***

# CaDyIn

A relaxed structure of CaDyIn (GGA-PBE, Alexandria).

Values from the calculation:
ΔH_f (0 K) = -0.6 eV per formula unit
energy above the lowest structure with this stoichiometry = 177 meV/atom

Cell lengths 3.643, 5.339, 5.339 Å; angles 120.00, 90.00, 90.00 degrees
Element x y z (fractional)
Dy (0.941, 0.000, 0.000)
In (0.682, 0.667, 0.333)
Ca (0.377, 0.333, 0.667)

***

# Pa2Ni5P4

A relaxed structure of Pa2Ni5P4 (GGA-PBE, Alexandria).

Values from the calculation:
ΔH_f (0 K) = -7.3 eV per formula unit

Cell lengths 5.257, 5.350, 7.024 Å; angles 79.41, 68.03, 60.58 degrees
Element x y z (fractional)
Ni (0.000, 0.500, 0.000)
Ni (0.250, 0.500, 0.500)
Ni (0.500, 0.000, 0.000)
P (0.515, 0.704, 0.265)
Pa (0.145, 0.000, 0.709)
Ni (0.750, 0.500, 0.500)
Pa (0.855, 0.000, 0.291)
Ni (0.500, 0.500, 0.000)
P (0.781, 0.704, 0.735)
P (0.485, 0.296, 0.735)
P (0.219, 0.296, 0.265)

***

# CuNi2Ir

A relaxed structure of CuNi2Ir (GGA-PBE, Alexandria).

Values from the calculation:
ΔH_f (0 K) = 0.2 eV per formula unit

Cell lengths 3.612, 2.621, 5.779 Å; angles 63.01, 90.00, 90.00 degrees
Element x y z (fractional)
Cu (0.500, 0.250, 0.250)
Ni (0.000, 0.499, 0.501)
Ni (0.000, 0.001, 0.999)
Ir (0.500, 0.750, 0.750)

***

# Ti6Sb2C

A relaxed structure of Ti6Sb2C (GGA-PBE, Alexandria).

Values from the calculation:
energy above the lowest structure with this stoichiometry = 31 meV/atom

Cell lengths 3.401, 7.063, 7.063 Å; angles 120.00, 90.00, 90.00 degrees
Element x y z (fractional)
Ti (0.500, 0.000, 0.638)
Sb (0.000, 0.667, 0.333)
Ti (0.000, 0.777, 0.777)
Ti (0.500, 0.362, 0.362)
Sb (0.000, 0.333, 0.667)
Ti (0.000, 0.000, 0.223)
Ti (0.000, 0.223, 0.000)
C (0.500, 0.000, 0.000)
Ti (0.500, 0.638, 0.000)

***

# MgCu2W

A relaxed structure of MgCu2W (GGA-PBE, Alexandria).

Values from the calculation:
ΔH_f (0 K) = 1.2 eV per formula unit

Cell lengths 5.074, 5.074, 4.739 Å; angles 72.70, 72.70, 30.10 degrees
Element x y z (fractional)
Cu (0.017, 0.017, 0.051)
Cu (0.729, 0.729, 0.705)
W (0.268, 0.268, 0.183)
Mg (0.486, 0.486, 0.561)

***

# LiAl2Ag

A relaxed structure of LiAl2Ag (GGA-PBE, Alexandria).

Values from the calculation:
ΔH_f (0 K) = -0.4 eV per formula unit
energy above the lowest structure with this stoichiometry = 48 meV/atom

Cell lengths 4.572, 2.897, 4.971 Å; angles 87.48, 90.00, 90.00 degrees
Element x y z (fractional)
Li (0.500, 0.250, 0.250)
Al (0.000, 0.518, 0.495)
Ag (0.500, 0.750, 0.750)
Al (0.000, 0.982, 0.005)

***

# BTeMoI2

A relaxed structure of BTeMoI2 (GGA-PBE, Alexandria).

Values from the calculation:
energy above the lowest structure with this stoichiometry = 0 meV/atom

Cell lengths 5.671, 5.671, 5.274 Å; angles 90.00, 90.00, 90.00 degrees
Element x y z (fractional)
B (0.500, 0.500, 0.500)
I (0.500, 0.000, 0.000)
Mo (0.000, 0.000, 0.000)
Te (0.000, 0.000, 0.500)
I (0.000, 0.500, 0.000)

***

# TaCrIn2

A relaxed structure of TaCrIn2 (GGA-PBE, Alexandria).

Values from the calculation:
ΔH_f (0 K) = 1.4 eV per formula unit
energy above the lowest structure with this stoichiometry = 63 meV/atom

Cell lengths 5.635, 5.635, 4.789 Å; angles 65.26, 65.26, 33.49 degrees
Element x y z (fractional)
Ta (0.533, 0.533, 0.468)
In (0.979, 0.979, 0.022)
In (0.758, 0.758, 0.741)
Cr (0.230, 0.230, 0.269)

***

# Sc2FeMo

A relaxed structure of Sc2FeMo (GGA-PBE, Alexandria).

Values from the calculation:
ΔH_f (0 K) = 0.6 eV per formula unit
energy above the lowest structure with this stoichiometry = 121 meV/atom

Cell lengths 3.058, 3.058, 7.222 Å; angles 90.00, 90.00, 90.00 degrees
Element x y z (fractional)
Fe (0.500, 0.500, 0.250)
Mo (0.500, 0.500, 0.750)
Sc (0.000, 0.000, 0.037)
Sc (0.000, 0.000, 0.463)

***

# BaCeSb2Pd2

A relaxed structure of BaCeSb2Pd2 (GGA-PBE, Alexandria).

Values from the calculation:
energy = -5.401 eV/atom

Cell lengths 4.664, 4.664, 8.609 Å; angles 90.00, 90.00, 120.00 degrees
Element x y z (fractional)
Ba (0.000, 0.000, 0.000)
Sb (0.333, 0.667, 0.718)
Pd (0.667, 0.333, 0.707)
Sb (0.667, 0.333, 0.282)
Ce (0.000, 0.000, 0.500)
Pd (0.333, 0.667, 0.293)

***

# CaFe2BBr

A relaxed structure of CaFe2BBr (GGA-PBE, Alexandria).

Values from the calculation:
energy = -4.088 eV/atom

Cell lengths 4.382, 5.434, 4.382 Å; angles 90.00, 90.00, 90.00 degrees
Element x y z (fractional)
Fe (0.500, 0.000, 0.000)
Br (0.000, 0.000, 0.000)
B (0.500, 0.500, 0.500)
Fe (0.000, 0.000, 0.500)
Ca (0.000, 0.500, 0.000)

***

# RuCOF2

A relaxed structure of RuCOF2 (GGA-PBE, Alexandria).

Values from the calculation:
energy above the lowest structure with this stoichiometry = 128 meV/atom

Cell lengths 4.650, 4.650, 2.447 Å; angles 90.00, 90.00, 90.00 degrees
Element x y z (fractional)
O (0.000, 0.000, 0.500)
F (0.500, 0.000, 0.000)
Ru (0.500, 0.500, 0.500)
C (0.000, 0.000, 0.000)
F (0.000, 0.500, 0.000)

***

Calculated values (g cm⁻³) of mass density for the records, taken in order: 8.63; 6.53; 15.13; 9.29; 9.34; 6.17; 8.21; 8.33; 10.81; 9.26; 4.43; 6.40; 5.56; 3.99; 2.54; 5.86; 9.15; 12.71; 6.13; 9.56; 4.26; 4.78; 10.18; 5.94; 7.51; 3.86; 5.24.